VASP calculation (PBE) on a geometry-optimized Hf6Pd2N structure.

```
data_Hf6Pd2N
_space_group_name_H-M_alt 'P 1 21/c 1'
_space_group_IT_number 14
_space_group_name_Hall '-P 2ybc'
_cell_length_a 5.811
_cell_length_b 6.299
_cell_length_c 10.684
_cell_angle_alpha 90.00
_cell_angle_beta 119.74
_cell_angle_gamma 90.00
loop_
_atom_site_label
_atom_site_type_symbol
_atom_site_fract_x
_atom_site_fract_y
_atom_site_fract_z
_atom_site_occupancy
Hf1 Hf 0.107 0.018 0.241 1
Hf2 Hf 0.208 0.688 0.044 1
Hf3 Hf 0.367 0.190 0.044 1
Pd1 Pd 0.342 0.102 0.756 1
N1 N 0.000 0.000 0.000 1
```

Output
density of states at the Fermi level: 16.6 states/eV per cell
magnetic moment: 0.000 Bohr magnetons per cell
uncorrected formation energy: -0.6590 eV per atom
V: 18.9 A^3/atom